(1)
{"formula": "MnCo2As", "functional": "GGA-PBE", "state": "optimized geometry", "magnetic_moment_mub_per_cell": 0.00, "formation_energy_ev_per_atom": 0.7470, "cell": [[5.013, 0.000, 0.000], [0.000, 5.013, 0.000], [0.000, 0.000, 10.418]], "species": ["Mn", "Mn", "Mn", "Mn", "Co", "Co", "Co", "Co", "Co", "Co", "Co", "Co", "As", "As", "As", "As"], "frac_coords": [[0.000, 0.000, 0.000], [0.000, 0.500, 0.250], [0.500, 0.000, 0.750], [0.500, 0.500, 0.500], [0.227, 0.250, 0.125], [0.250, 0.727, 0.375], [0.250, 0.773, 0.875], [0.273, 0.250, 0.625], [0.727, 0.750, 0.625], [0.750, 0.227, 0.875], [0.750, 0.273, 0.375], [0.773, 0.750, 0.125], [0.000, 0.000, 0.500], [0.000, 0.500, 0.750], [0.500, 0.000, 0.250], [0.500, 0.500, 0.000]]}

=====

(2)
{"formula": "Cs3MgPb2Br9", "functional": "GGA-PBE", "state": "optimized geometry", "e_form_raw_mev_per_atom": -1394, "magnetic_moment_mub_per_cell": 0.00, "cell": [[8.200, 0.000, 0.000], [-4.100, 7.101, 0.000], [0.000, 0.000, 10.053]], "species": ["Cs", "Cs", "Cs", "Mg", "Pb", "Pb", "Br", "Br", "Br", "Br", "Br", "Br", "Br", "Br", "Br"], "frac_coords": [[0.000, 0.000, 0.000], [0.333, 0.667, 0.663], [0.667, 0.333, 0.337], [0.000, 0.000, 0.500], [0.333, 0.667, 0.180], [0.667, 0.333, 0.820], [0.000, 0.500, 0.000], [0.156, 0.312, 0.345], [0.156, 0.844, 0.345], [0.312, 0.156, 0.655], [0.500, 0.000, 0.000], [0.500, 0.500, 0.000], [0.688, 0.844, 0.345], [0.844, 0.156, 0.655], [0.844, 0.688, 0.655]]}

=====

(3)
{"formula": "Ba2LiSbF", "functional": "GGA-PBE", "state": "optimized geometry", "e_form_raw_mev_per_atom": -1533, "magnetic_moment_mub_per_cell": 0.00, "cell": [[5.634, 0.000, 0.000], [0.000, 5.634, 0.000], [0.000, 0.000, 4.572]], "species": ["Ba", "Ba", "Li", "Sb", "F"], "frac_coords": [[0.000, 0.500, 0.000], [0.500, 0.000, 0.000], [0.000, 0.000, 0.500], [0.500, 0.500, 0.500], [0.000, 0.000, 0.000]]}

=====

(4)
{"formula": "CaTiAu2N", "functional": "GGA-PBE", "state": "optimized geometry", "e_form_raw_mev_per_atom": 412, "polymorph_energy_ev_per_atom": 0.000, "magnetic_moment_mub_per_cell": 0.00, "cell": [[4.532, 0.000, 0.000], [0.000, 4.532, 0.000], [0.000, 0.000, 4.444]], "species": ["Ca", "Ti", "Au", "Au", "N"], "frac_coords": [[0.000, 0.000, 0.000], [0.500, 0.500, 0.000], [0.000, 0.500, 0.500], [0.500, 0.000, 0.500], [0.000, 0.000, 0.500]]}

=====

One value per record, in order, for V: 65 585 145 91 Å³/f.u..